Record 1
12
Lattice="7.4723 0.0000 0.0000 0.0000 3.5067 0.0000 -1.0985 0.0000 7.5001" Properties=species:S:1:pos:R:3 comment="SrCeFeN3, relaxed, DFT PBE" e_tot_ev_per_cell=-91.94 vol_a3_per_cell=197 pbc="T T T"
Sr 1.0383 0.8767 1.3960
Sr 5.3355 2.6300 6.1041
Ce 1.7918 2.6300 6.1986
Ce 4.5820 0.8767 1.3015
Fe -0.0930 0.8767 4.4319
Fe 6.4668 2.6300 3.0682
N 0.0891 0.8767 6.2641
N 0.5620 2.6300 3.9843
N 3.0204 2.6300 0.9978
N 3.3535 0.8767 6.5023
N 5.8118 0.8767 3.5158
N 6.2848 2.6300 1.2360

=====

Record 2
5
Lattice="5.6916 0.0000 0.0000 0.0000 5.6916 0.0000 0.0000 0.0000 3.3709" Properties=species:S:1:pos:R:3 comment="NbSiI2N, relaxed, DFT PBE" de_polymorph_mev_per_atom=171 vol_a3_per_cell=109 pbc="T T T"
Nb 0.0000 0.0000 0.0000
Si 2.8458 2.8458 1.6855
I 0.0000 2.8458 1.6855
I 2.8458 0.0000 1.6855
N 2.8458 2.8458 0.0000

=====

Record 3
4
Lattice="0.0000 2.9221 2.9221 2.9221 0.0000 2.9221 2.9221 2.9221 0.0000" Properties=species:S:1:pos:R:3 comment="BeSiIrPd, relaxed, DFT PBE" e_tot_ev_per_cell=-25.27 vol_a3_per_cell=50 pbc="T T T"
Be 0.0000 0.0000 0.0000
Si 2.9221 2.9221 2.9221
Ir 1.4610 1.4610 1.4610
Pd 4.3831 4.3831 4.3831

=====

Record 4
12
Lattice="3.7485 -6.4931 0.0000 3.7485 6.4931 0.0000 -2.4993 0.0000 8.0700" Properties=species:S:1:pos:R:3 comment="Rb3CaBi2Se6, relaxed, DFT PBE" e_tot_ev_per_cell=-45.13 vol_a3_per_cell=393 pbc="T T T"
Rb 0.0000 0.0000 0.0000
Rb 3.7485 2.1619 0.0000
Rb 3.7485 -2.1619 0.0000
Ca 2.4988 0.0000 4.0350
Bi 2.4988 4.3289 4.0350
Bi 2.4988 -4.3289 4.0350
Se 1.2335 2.1915 2.4191
Se -0.0311 0.0000 5.6499
Se 1.2335 -2.1915 2.4191
Se 3.7641 2.1915 5.6509
Se 5.0287 0.0000 2.4201
Se 3.7641 -2.1915 5.6509

=====

Record 5
9
Lattice="8.2793 0.0000 0.0000 -4.1396 7.1701 0.0000 0.0000 0.0000 3.3199" Properties=species:S:1:pos:R:3 comment="Li2Mg3AlTl3, relaxed, DFT PBE" delta_e_f_ev_per_fu=-0.55 vol_a3_per_cell=197 pbc="T T T"
Li 0.0000 4.7800 0.0000
Li 4.1396 2.3900 0.0000
Mg -1.1825 2.0482 0.0000
Mg 2.3650 0.0000 0.0000
Mg 2.9571 5.1219 0.0000
Al 0.0000 0.0000 1.6599
Tl -2.5897 4.4855 1.6599
Tl 1.5500 2.6846 1.6599
Tl 5.1794 0.0000 1.6599

=====

Record 6
20
Lattice="4.5100 -7.4750 0.0000 4.5100 7.4750 0.0000 0.0000 0.0000 4.9192" Properties=species:S:1:pos:R:3 comment="Mg3Pd6Pt, relaxed, DFT PBE" delta_e_f_ev_per_fu=-4.03 de_polymorph_mev_per_atom=115 vol_a3_per_cell=332 pbc="T T T"
Mg 4.5100 5.8987 2.4596
Mg 3.0135 1.5372 4.1056
Mg 3.0135 -1.5372 1.6460
Mg 6.0066 1.5372 4.1056
Mg 6.0066 -1.5372 1.6460
Mg 4.5100 -5.8987 0.0000
Pd 2.2928 3.0904 1.2325
Pd 1.4598 0.6565 2.1269
Pd 4.5100 4.4304 0.2318
Pd 1.4598 -0.6565 4.5865
Pd 4.5100 0.8256 1.5205
Pd 2.2928 -3.0904 3.6921
Pd 6.7272 3.0904 1.2325
Pd 4.5100 -0.8256 3.9801
Pd 7.5603 0.6565 2.1269
Pd 4.5100 -4.4304 2.6914
Pd 7.5603 -0.6565 4.5865
Pd 6.7272 -3.0904 3.6921
Pt 4.5100 3.2511 2.7146
Pt 4.5100 -3.2511 0.2550